Density functional theory data (PBE) for crystalline Tc2RuCl at its relaxed geometry.

Geometry as CIF:
```
data_Tc2RuCl
_chemical_formula_sum 'Tc4 Ru2 Cl2'
_cell_length_a 2.825
_cell_length_b 4.880
_cell_length_c 8.777
_cell_angle_alpha 90.00
_cell_angle_beta 90.00
_cell_angle_gamma 90.00
_space_group_name_H-M_alt 'C m m m'
_space_group_IT_number 65
_space_group_name_Hall '-C 2 2'
loop_
_atom_site_label
_atom_site_type_symbol
_atom_site_fract_x
_atom_site_fract_y
_atom_site_fract_z
Tc1 Tc 0.000 0.000 0.250
Ru1 Ru 0.000 0.500 0.000
Cl1 Cl 0.000 0.500 0.500
```

Values from the calculation:
* energy above the most stable polymorph in this dataset: 1.41 eV/f.u.



Density functional theory data (PBE) for crystalline Fe2IrI8 at its relaxed geometry.

Geometry as CIF:
```
data_Fe2IrI8
_chemical_formula_sum 'Fe4 Ir2 I16'
_cell_length_a 14.772
_cell_length_b 9.366
_cell_length_c 6.884
_cell_angle_alpha 90.00
_cell_angle_beta 92.38
_cell_angle_gamma 90.00
_space_group_name_H-M_alt 'C 1 2/m 1'
_space_group_IT_number 12
loop_
_space_group_symop_operation_xyz
'x,y,z'
'-x,-y,-z'
'-x,y,-z'
'x,-y,z'
'x+1/2,y+1/2,z'
'-x+1/2,-y+1/2,-z'
'-x+1/2,y+1/2,-z'
'x+1/2,-y+1/2,z'
loop_
_atom_site_label
_atom_site_type_symbol
_atom_site_fract_x
_atom_site_fract_y
_atom_site_fract_z
Fe1 Fe 0.163 0.000 0.428
Ir1 Ir 0.000 0.000 0.000
I1 I 0.074 0.202 0.238
I2 I 0.156 0.000 0.803
I3 I 0.170 0.500 0.629
```



The evaluated total magnetization for the records listed, in turn: 0.440, 9.000 μB per formula unit.
The evaluated formation energy without anion corrections for the records listed, in turn: 0.636, -0.114 eV/atom.